# 1
The following is a PBE calculation of a geometry-optimized Ga2Sb2N structure, from Alexandria.

Lattice parameters (Å, degrees): 5.806 5.806 5.922 90.00 90.00 90.00
Atoms (fractional coordinates):
Ga  0.169  0.331  0.000
Ga  0.331  0.831  0.000
Ga  0.669  0.169  0.000
Ga  0.831  0.669  0.000
Sb  0.206  0.294  0.500
Sb  0.294  0.794  0.500
Sb  0.706  0.206  0.500
Sb  0.794  0.706  0.500
N  0.000  0.000  0.000
N  0.500  0.500  0.000

Results
Offset from the most stable computed form, eV/atom: 0.000
ΔE_f (raw), eV per atom: 0.400
DFT total energy, eV per atom: -4.1244
Total magnetic moment, μB per formula unit: 0.00
DOS at the Fermi energy, states/eV/f.u.: 3.4

# 2
The following is a PBE calculation of a geometry-optimized GaSbSe2N structure, from Alexandria.

Lattice parameters (Å, degrees): 5.195 5.195 3.744 90.00 90.00 90.00
Atoms (fractional coordinates):
Ga  0.000  0.000  0.000
Sb  0.500  0.500  0.500
Se  0.000  0.500  0.000
Se  0.500  0.000  0.000
N  0.000  0.000  0.500

Results
Offset from the most stable computed form, eV/atom: 0.000
ΔE_f (raw), eV per atom: 0.503
DFT total energy, eV per atom: -3.9862
Total magnetic moment, μB per formula unit: 1.46
DOS at the Fermi energy, states/eV/f.u.: 2.0

# 3
The following is a PBE calculation of a geometry-optimized GaSbSe2N structure, from Alexandria.

Lattice parameters (Å, degrees): 5.395 5.395 4.030 90.00 90.00 90.00
Atoms (fractional coordinates):
Ga  0.000  0.000  0.000
Sb  0.500  0.500  0.500
Se  0.000  0.500  0.500
Se  0.500  0.000  0.500
N  0.500  0.500  0.000

Results
Offset from the most stable computed form, eV/atom: 0.163
ΔE_f (raw), eV per atom: 0.665
DFT total energy, eV per atom: -3.8236
Total magnetic moment, μB per formula unit: 0.95
DOS at the Fermi energy, states/eV/f.u.: 5.3

# 4
The following is a PBE calculation of a geometry-optimized Sr2GaSbN structure, from Alexandria.

Lattice parameters (Å, degrees): 5.391 5.391 4.260 90.00 90.00 90.00
Atoms (fractional coordinates):
Sr  0.000  0.500  0.000
Sr  0.500  0.000  0.000
Ga  0.000  0.000  0.500
Sb  0.500  0.500  0.500
N  0.000  0.000  0.000

Results
Offset from the most stable computed form, eV/atom: 0.073
ΔE_f (raw), eV per atom: -0.625
DFT total energy, eV per atom: -4.3925
Total magnetic moment, μB per formula unit: 0.00
DOS at the Fermi energy, states/eV/f.u.: 1.3

# 5
The following is a PBE calculation of a geometry-optimized Sr2GaSbN structure, from Alexandria.

Lattice parameters (Å, degrees): 7.004 4.161 9.324 90.00 107.42 90.00
Atoms (fractional coordinates):
Sr  0.192  0.250  0.459
Sr  0.210  0.250  0.860
Sr  0.790  0.750  0.140
Sr  0.808  0.750  0.541
Ga  0.461  0.750  0.696
Ga  0.539  0.250  0.304
Sb  0.297  0.750  0.174
Sb  0.703  0.250  0.826
N  0.180  0.750  0.665
N  0.820  0.250  0.335

Results
Offset from the most stable computed form, eV/atom: 0.000
ΔE_f (raw), eV per atom: -0.697
DFT total energy, eV per atom: -4.4650
Total magnetic moment, μB per formula unit: 0.00
DOS at the Fermi energy, states/eV/f.u.: 2.3

# 6
The following is a PBE calculation of a geometry-optimized GaSb2TeN structure, from Alexandria.

Lattice parameters (Å, degrees): 5.332 5.332 5.492 90.00 90.00 90.00
Atoms (fractional coordinates):
Ga  0.000  0.000  0.000
Sb  0.000  0.500  0.000
Sb  0.500  0.000  0.000
Te  0.000  0.000  0.500
N  0.500  0.500  0.500

Results
Offset from the most stable computed form, eV/atom: 0.879
ΔE_f (raw), eV per atom: 1.484
DFT total energy, eV per atom: -3.0637
Total magnetic moment, μB per formula unit: 2.35
DOS at the Fermi energy, states/eV/f.u.: 3.6

# 7
The following is a PBE calculation of a geometry-optimized GaSbTe2N structure, from Alexandria.

Lattice parameters (Å, degrees): 5.796 5.796 3.568 90.00 90.00 90.00
Atoms (fractional coordinates):
Ga  0.000  0.000  0.000
Sb  0.500  0.500  0.500
Te  0.000  0.500  0.000
Te  0.500  0.000  0.000
N  0.000  0.000  0.500

Results
Offset from the most stable computed form, eV/atom: 0.000
ΔE_f (raw), eV per atom: 0.576
DFT total energy, eV per atom: -3.7755
Total magnetic moment, μB per formula unit: 0.00
DOS at the Fermi energy, states/eV/f.u.: 3.8

# 8
The following is a PBE calculation of a geometry-optimized GaSbTe2N structure, from Alexandria.

Lattice parameters (Å, degrees): 4.781 4.781 4.904 90.00 90.00 90.00
Atoms (fractional coordinates):
Ga  0.000  0.000  0.000
Sb  0.500  0.500  0.000
Te  0.000  0.500  0.500
Te  0.500  0.000  0.500
N  0.500  0.500  0.500

Results
Offset from the most stable computed form, eV/atom: 0.042
ΔE_f (raw), eV per atom: 0.618
DFT total energy, eV per atom: -3.7337
Total magnetic moment, μB per formula unit: 0.00
DOS at the Fermi energy, states/eV/f.u.: 2.5

# 9
The following is a PBE calculation of a geometry-optimized GaSbTe2N structure, from Alexandria.

Lattice parameters (Å, degrees): 5.465 5.465 5.323 90.00 90.00 90.00
Atoms (fractional coordinates):
Ga  0.000  0.000  0.000
Sb  0.000  0.000  0.500
Te  0.000  0.500  0.000
Te  0.500  0.000  0.000
N  0.500  0.500  0.500

Results
Offset from the most stable computed form, eV/atom: 0.850
ΔE_f (raw), eV per atom: 1.426
DFT total energy, eV per atom: -2.9254
Total magnetic moment, μB per formula unit: 2.56
DOS at the Fermi energy, states/eV/f.u.: 4.5

# 10
The following is a PBE calculation of a geometry-optimized GaSb2TeN structure, from Alexandria.

Lattice parameters (Å, degrees): 4.752 4.752 4.995 90.00 90.00 90.00
Atoms (fractional coordinates):
Ga  0.000  0.000  0.000
Sb  0.000  0.500  0.500
Sb  0.500  0.000  0.500
Te  0.500  0.500  0.000
N  0.500  0.500  0.500

Results
Offset from the most stable computed form, eV/atom: 0.000
ΔE_f (raw), eV per atom: 0.605
DFT total energy, eV per atom: -3.9427
Total magnetic moment, μB per formula unit: 0.00
DOS at the Fermi energy, states/eV/f.u.: 3.4

# 11
The following is a PBE calculation of a geometry-optimized GaSbTe2N structure, from Alexandria.

Lattice parameters (Å, degrees): 5.991 5.991 3.893 90.00 90.00 90.00
Atoms (fractional coordinates):
Ga  0.000  0.000  0.000
Sb  0.500  0.500  0.500
Te  0.000  0.500  0.500
Te  0.500  0.000  0.500
N  0.500  0.500  0.000

Results
Offset from the most stable computed form, eV/atom: 0.149
ΔE_f (raw), eV per atom: 0.725
DFT total energy, eV per atom: -3.6265
Total magnetic moment, μB per formula unit: 0.00
DOS at the Fermi energy, states/eV/f.u.: 4.0

# 12
The following is a PBE calculation of a geometry-optimized YGaSbN2 structure, from Alexandria.

Lattice parameters (Å, degrees): 4.127 4.127 5.780 90.00 90.00 90.00
Atoms (fractional coordinates):
Y  0.000  0.000  0.000
Ga  0.000  0.000  0.500
Sb  0.500  0.500  0.000
N  0.000  0.500  0.500
N  0.500  0.000  0.500

Results
ΔE_f (raw), eV per atom: 0.985
DFT total energy, eV per atom: -5.0681
Total magnetic moment, μB per formula unit: 1.49
DOS at the Fermi energy, states/eV/f.u.: 2.7

# 13
The following is a PBE calculation of a geometry-optimized Y4GaSbN structure, from Alexandria.

Lattice parameters (Å, degrees): 8.512 8.512 6.591 90.00 90.00 134.51
Atoms (fractional coordinates):
Y  0.000  0.500  0.000
Y  0.000  0.500  0.500
Y  0.081  0.919  0.750
Y  0.410  0.590  0.750
Y  0.500  0.000  0.000
Y  0.500  0.000  0.500
Y  0.590  0.410  0.250
Y  0.919  0.081  0.250
Ga  0.114  0.886  0.250
Ga  0.886  0.114  0.750
Sb  0.393  0.607  0.250
Sb  0.607  0.393  0.750
N  0.247  0.753  0.750
N  0.753  0.247  0.250

Results
ΔE_f (raw), eV per atom: -0.982
DFT total energy, eV per atom: -6.8868
Total magnetic moment, μB per formula unit: 0.00
DOS at the Fermi energy, states/eV/f.u.: 4.5

# 14
The following is a PBE calculation of a geometry-optimized ZrGaSb2N structure, from Alexandria.

Lattice parameters (Å, degrees): 4.938 4.938 3.986 90.00 90.00 90.00
Atoms (fractional coordinates):
Zr  0.000  0.000  0.000
Ga  0.500  0.500  0.000
Sb  0.000  0.500  0.500
Sb  0.500  0.000  0.500
N  0.500  0.500  0.500

Results
ΔE_f (raw), eV per atom: 0.227
DFT total energy, eV per atom: -5.4024
Total magnetic moment, μB per formula unit: 0.00
DOS at the Fermi energy, states/eV/f.u.: 2.3